Computed, not measured: a relaxed structure of LaGe at the GGA-PBE level of DFT.

The structure belongs to space group Cmcm (No. 63); the cell edges are 4.582, 13.872 and 6.779 Å and the angles 90.00°, 90.00° and 90.00°. The distinct sites, in fractional coordinates, are La at (0.000, 0.047, 0.250), La at (0.000, 0.226, 0.750) and Ge at (0.000, 0.401, 0.055).

The calculation puts the density of states at the Fermi level at 1.51 states/eV/f.u. The total energy comes out at -5.632 eV per atom. As for the total magnetization: 0.0 Bohr magnetons per cell.